Computed, not measured: Mn2AlPt after structural relaxation at the PBE-GGA level of DFT.

Cell lengths 9.0123, 2.8500, 4.5930 Å; angles 90.00, 104.15, 90.00 degrees
With the nearest neighbours (Å) after each atom.
Fractional positions:
Mn 0.0000 0.0000 0.0000  5 Mn 2.66-2.85, 3 Al 2.69-2.83, 4 Pt 2.70-2.71
Mn 0.2467 0.0000 0.7797  4 Al 2.66-2.75, 5 Mn 2.66-2.85, 3 Pt 2.74-2.84
Mn 0.5000 0.5000 0.0000  5 Mn 2.66-2.85, 3 Al 2.69-2.83, 4 Pt 2.70-2.71
Mn 0.7467 0.5000 0.7797  4 Al 2.66-2.75, 5 Mn 2.66-2.85, 3 Pt 2.74-2.84
Al 0.2496 0.5000 0.2690  3 Pt 2.61-2.76, 7 Mn 2.66-2.83, 2 Al 2.85
Al 0.7496 0.0000 0.2690  3 Pt 2.61-2.76, 7 Mn 2.66-2.83, 2 Al 2.85
Pt 0.4932 0.0000 0.4959  3 Al 2.61-2.76, 7 Mn 2.70-2.84, 2 Pt 2.85
Pt 0.9932 0.5000 0.4959  3 Al 2.61-2.76, 7 Mn 2.70-2.84, 2 Pt 2.85

Calculated values
E_tot = -58.6 eV/cell
formation energy from the elements = -293.2 meV per atom
volume = 14.30 A^3/atom